Entry from the Alexandria database: a crystal of MnZnSiPd2 relaxed with PBEsol (SCAN).

Structure (POSCAR):
```
MnZnSiPd2
1.0
4.4585 0.0000 0.0000
0.0000 4.5165 0.0000
0.0000 0.0000 4.5165
Zn Mn Si Pd
1 1 1 2
Cartesian
0.0000 0.0000 0.0000
2.2293 0.0000 0.0000
2.2293 2.2582 2.2582
0.0000 0.0000 2.2582
0.0000 2.2582 0.0000
```

Results
Magnetic moment = 4.35 μB/f.u.
Crystal system = tetragonal
Total energy = -104.09 eV for the cell shown
DOS at the Fermi energy = 2.7 states/eV/cell
E_form (uncorrected) = 3.25 eV/f.u.

Entry from the Alexandria database: a crystal of Mn2SnPd2 relaxed with PBEsol (SCAN).

Structure (POSCAR):
```
Mn2SnPd2
1.0
-0.1773 0.9144 -3.0595
-2.3040 -2.1582 -0.5115
-3.7283 5.5119 3.5351
Mn Sn Pd
2 1 2
Cartesian
-3.6365 1.3659 0.6190
-2.5732 2.9022 -0.6549
0.0000 0.0000 0.0000
-3.9281 3.8657 1.3831
-2.2815 0.4024 -1.4190
```

Results
Magnetic moment = 2.00 μB/f.u.
Crystal system = tetragonal
Total energy = -136.62 eV for the cell shown
DOS at the Fermi energy = 4.8 states/eV/cell
Calculated formation energy = 131 kJ/mol of formula units

Entry from the Alexandria database: a crystal of SrMnPd3 relaxed with PBEsol (SCAN).

Structure (POSCAR):
```
SrMnPd3
1.0
4.9861 0.0000 0.0000
0.0000 4.9861 0.0000
0.0000 0.0000 4.9861
Sr Mn Pd
1 1 3
Cartesian
0.0000 0.0000 0.0000
2.4931 2.4931 2.4931
0.0000 2.4931 0.0000
0.0000 0.0000 2.4931
2.4931 0.0000 0.0000
```

Results
Magnetic moment = 4.98 μB/f.u.
Crystal system = cubic
Total energy = -133.63 eV for the cell shown
DOS at the Fermi energy = 2.0 states/eV/cell
Calculated formation energy = 504 kJ/mol of formula units

Entry from the Alexandria database: a crystal of SrYMn2Pd relaxed with PBEsol (SCAN).

Structure (POSCAR):
```
SrYMn2Pd
1.0
-3.3470 -0.2169 -3.2163
-0.2485 -4.6052 0.5692
-3.6854 0.6673 3.7901
Y Sr Mn Pd
1 1 2 1
Cartesian
-1.8427 0.3337 1.8950
0.0000 0.0000 0.0000
-0.1243 -2.3026 0.2846
-1.6735 -0.1084 -1.6082
-3.6404 -2.0774 0.5715
```

Results
Magnetic moment = 7.00 μB/f.u.
Crystal system = tetragonal
Total energy = -111.20 eV for the cell shown
DOS at the Fermi energy = 2.7 states/eV/cell
Calculated formation energy = 792 kJ/mol of formula units